A relaxed structure of Ac2La6PrSm. Source: Alexandria, functional GGA-PBE.

a = 7.304 Å, b = 7.304 Å, c = 9.220 Å
α = 108.40°, β = 108.40°, γ = 57.57°
Atoms (fractional coordinates):
Ac  0.108  0.108  0.201
Ac  0.892  0.892  0.799
La  0.093  0.589  0.199
La  0.359  0.359  0.593
La  0.411  0.907  0.801
La  0.589  0.093  0.199
La  0.641  0.641  0.407
La  0.907  0.411  0.801
Pr  0.500  0.500  0.000
Sm  0.000  0.000  0.500

Density of states at the Fermi level   19.2 states/eV/f.u.
Spin magnetization   0.000 μB per formula unit
Electronic total energy   -4.5336 eV per atom

---

A relaxed structure of SrAcLaPr. Source: Alexandria, functional GGA-PBE.

a = 6.201 Å, b = 6.201 Å, c = 6.201 Å
α = 60.00°, β = 60.00°, γ = 60.00°
Atoms (fractional coordinates):
Sr  0.000  0.000  0.000
Ac  0.500  0.500  0.500
La  0.750  0.750  0.750
Pr  0.250  0.250  0.250

Density of states at the Fermi level   8.5 states/eV/f.u.
Spin magnetization   0.743 μB per formula unit
Electronic total energy   -3.6963 eV per atom

---

A relaxed structure of Ac2LaTbPr. Source: Alexandria, functional GGA-PBE.

a = 9.158 Å, b = 6.852 Å, c = 6.451 Å
α = 90.00°, β = 90.09°, γ = 90.00°
Atoms (fractional coordinates):
Ac  0.198  0.202  0.251
Ac  0.198  0.798  0.751
Ac  0.802  0.202  0.249
Ac  0.802  0.798  0.749
La  0.500  0.072  0.750
La  0.500  0.928  0.250
Tb  0.000  0.333  0.750
Tb  0.000  0.667  0.250
Pr  0.500  0.500  0.000
Pr  0.500  0.500  0.500

Density of states at the Fermi level   7.2 states/eV/f.u.
Spin magnetization   0.000 μB per formula unit
Electronic total energy   -4.2469 eV per atom

---

A relaxed structure of AcLa6TbPr2. Source: Alexandria, functional GGA-PBE.

a = 9.284 Å, b = 9.284 Å, c = 9.479 Å
α = 90.66°, β = 90.66°, γ = 114.86°
Atoms (fractional coordinates):
Ac  0.067  0.933  0.750
Ac  0.933  0.067  0.250
La  0.030  0.472  0.322
La  0.078  0.771  0.090
La  0.229  0.922  0.410
La  0.280  0.568  0.904
La  0.432  0.720  0.596
La  0.472  0.030  0.822
La  0.528  0.970  0.178
La  0.568  0.280  0.404
La  0.720  0.432  0.096
La  0.771  0.078  0.590
La  0.922  0.229  0.910
La  0.970  0.528  0.678
Tb  0.427  0.573  0.250
Tb  0.573  0.427  0.750
Pr  0.209  0.304  0.563
Pr  0.304  0.209  0.063
Pr  0.696  0.791  0.937
Pr  0.791  0.696  0.437

Density of states at the Fermi level   13.4 states/eV/f.u.
Spin magnetization   0.000 μB per formula unit
Electronic total energy   -4.6756 eV per atom

---

A relaxed structure of Ac2LaTb2Pr4. Source: Alexandria, functional GGA-PBE.

a = 9.886 Å, b = 9.886 Å, c = 9.191 Å
α = 90.70°, β = 90.70°, γ = 21.97°
Atoms (fractional coordinates):
Ac  0.112  0.112  0.170
Ac  0.888  0.888  0.830
La  0.000  0.000  0.500
Tb  0.330  0.330  0.498
Tb  0.670  0.670  0.502
Pr  0.220  0.220  0.828
Pr  0.442  0.442  0.175
Pr  0.558  0.558  0.825
Pr  0.780  0.780  0.172

Density of states at the Fermi level   16.0 states/eV/f.u.
Spin magnetization   0.000 μB per formula unit
Electronic total energy   -4.5802 eV per atom

---

A relaxed structure of Ac2La4TbPr. Source: Alexandria, functional GGA-PBE.

a = 6.482 Å, b = 3.800 Å, c = 12.583 Å
α = 90.00°, β = 100.45°, γ = 90.00°
Atoms (fractional coordinates):
Ac  0.000  0.000  0.000
Ac  0.000  0.500  0.500
La  0.254  0.000  0.754
La  0.256  0.500  0.251
La  0.744  0.500  0.749
La  0.746  0.000  0.246
Tb  0.500  0.500  0.000
Pr  0.500  0.000  0.500

Density of states at the Fermi level   15.1 states/eV/f.u.
Spin magnetization   0.000 μB per formula unit
Electronic total energy   -4.6402 eV per atom